#P
# PBE Ta2Ir2O5, relaxed
# Crystal system ... tetragonal
# M_tot ... 3.148 μB/f.u.
data_Ta2Ir2O5
_symmetry_space_group_name_H-M 'P 4/m m m'
_symmetry_Int_Tables_number 123
_symmetry_space_group_name_Hall '-P 4 2'
_cell_length_a 3.944
_cell_length_b 3.944
_cell_length_c 7.278
_cell_angle_alpha 90.00
_cell_angle_beta 90.00
_cell_angle_gamma 90.00
loop_
_atom_site_label
_atom_site_type_symbol
_atom_site_fract_x
_atom_site_fract_y
_atom_site_fract_z
_atom_site_occupancy
Ta1 Ta 0.000 0.000 0.227 1
Ir1 Ir 0.500 0.500 0.000 1
Ir2 Ir 0.500 0.500 0.500 1
O1 O 0.000 0.000 0.500 1
O2 O 0.000 0.500 0.246 1

#Q
# PBE Ta2Ir2O5, relaxed
# Crystal system ... tetragonal
# M_tot ... 0.003 μB/f.u.
data_Ta2Ir2O5
_symmetry_space_group_name_H-M 'P 4/m m m'
_symmetry_Int_Tables_number 123
_symmetry_space_group_name_Hall '-P 4 2'
_cell_length_a 3.389
_cell_length_b 3.389
_cell_length_c 8.319
_cell_angle_alpha 90.00
_cell_angle_beta 90.00
_cell_angle_gamma 90.00
loop_
_atom_site_label
_atom_site_type_symbol
_atom_site_fract_x
_atom_site_fract_y
_atom_site_fract_z
_atom_site_occupancy
Ta1 Ta 0.000 0.000 0.000 1
Ta2 Ta 0.000 0.000 0.500 1
Ir1 Ir 0.500 0.500 0.159 1
O1 O 0.000 0.500 0.318 1
O2 O 0.500 0.500 0.500 1

Energetically preferred structure: #P | next structure: +3.3 kJ/mol of atoms

#P
# PBE Tc2Ir2O5, relaxed
# Crystal system ... tetragonal
# M_tot ... 7.834 μB/f.u.
data_Tc2Ir2O5
_symmetry_space_group_name_H-M 'P 4/m m m'
_symmetry_Int_Tables_number 123
_symmetry_space_group_name_Hall '-P 4 2'
_cell_length_a 3.879
_cell_length_b 3.879
_cell_length_c 6.932
_cell_angle_alpha 90.00
_cell_angle_beta 90.00
_cell_angle_gamma 90.00
loop_
_atom_site_label
_atom_site_type_symbol
_atom_site_fract_x
_atom_site_fract_y
_atom_site_fract_z
_atom_site_occupancy
Tc1 Tc 0.000 0.000 0.000 1
Tc2 Tc 0.000 0.000 0.500 1
Ir1 Ir 0.500 0.500 0.192 1
O1 O 0.000 0.500 0.255 1
O2 O 0.500 0.500 0.500 1

#Q
# PBE Tc2Ir2O5, relaxed
# Crystal system ... tetragonal
# M_tot ... 0.879 μB/f.u.
data_Tc2Ir2O5
_symmetry_space_group_name_H-M 'P 4/m m m'
_symmetry_Int_Tables_number 123
_symmetry_space_group_name_Hall '-P 4 2'
_cell_length_a 3.338
_cell_length_b 3.338
_cell_length_c 8.438
_cell_angle_alpha 90.00
_cell_angle_beta 90.00
_cell_angle_gamma 90.00
loop_
_atom_site_label
_atom_site_type_symbol
_atom_site_fract_x
_atom_site_fract_y
_atom_site_fract_z
_atom_site_occupancy
Tc1 Tc 0.000 0.000 0.164 1
Ir1 Ir 0.500 0.500 0.000 1
Ir2 Ir 0.500 0.500 0.500 1
O1 O 0.000 0.000 0.500 1
O2 O 0.000 0.500 0.293 1

Energetically preferred structure: #Q | next structure: +12.4 kJ/mol of atoms

#P
# PBE Tm2Ir2O5, relaxed
# Crystal system ... tetragonal
# M_tot ... 0.002 μB/f.u.
data_Tm2Ir2O5
_symmetry_space_group_name_H-M 'P 4/m m m'
_symmetry_Int_Tables_number 123
_symmetry_space_group_name_Hall '-P 4 2'
_cell_length_a 3.893
_cell_length_b 3.893
_cell_length_c 6.971
_cell_angle_alpha 90.00
_cell_angle_beta 90.00
_cell_angle_gamma 90.00
loop_
_atom_site_label
_atom_site_type_symbol
_atom_site_fract_x
_atom_site_fract_y
_atom_site_fract_z
_atom_site_occupancy
Tm1 Tm 0.000 0.000 0.000 1
Tm2 Tm 0.000 0.000 0.500 1
Ir1 Ir 0.500 0.500 0.191 1
O1 O 0.000 0.500 0.252 1
O2 O 0.500 0.500 0.500 1

#Q
# PBE Tm2Ir2O5, relaxed
# Crystal system ... tetragonal
# M_tot ... 0.557 μB/f.u.
data_Tm2Ir2O5
_symmetry_space_group_name_H-M 'P 4/m m m'
_symmetry_Int_Tables_number 123
_symmetry_space_group_name_Hall '-P 4 2'
_cell_length_a 3.582
_cell_length_b 3.582
_cell_length_c 9.069
_cell_angle_alpha 90.00
_cell_angle_beta 90.00
_cell_angle_gamma 90.00
loop_
_atom_site_label
_atom_site_type_symbol
_atom_site_fract_x
_atom_site_fract_y
_atom_site_fract_z
_atom_site_occupancy
Tm1 Tm 0.000 0.000 0.235 1
Ir1 Ir 0.500 0.500 0.000 1
Ir2 Ir 0.500 0.500 0.500 1
O1 O 0.000 0.000 0.000 1
O2 O 0.000 0.500 0.370 1

Energetically preferred structure: #P | next structure: +17.1 kJ/mol of atoms